The following is a GGA-PBE calculation of a relaxed structure of Al2CdPt, from Alexandria via LeMat-Bulk.

Cell: 2.8411 4.8323 10.7559 Å, 90.00 90.00 90.00°
Closest atoms and distances in Å follow each position.
Space group Immm (No. 71)
Asymmetric unit:
Al 0.0000 0.0000 0.2040 [4 per cell]  2 Pt 2.61, 2 Al 2.84
Cd 0.0000 0.5000 0.0000 [2 per cell]  4 Pt 2.80, 2 Cd 2.84
Pt 0.0000 0.5000 0.5000 [2 per cell]  4 Al 2.61, 4 Cd 2.80, 2 Pt 2.84

Summary:
Total moment = 0.0 μB/f.u.
DFT formation energy = -0.30 eV/atom



The following is a GGA-PBE calculation of a relaxed structure of Al2CdPt, from Alexandria via LeMat-Bulk.

Cell: 3.1137 3.1137 25.3584 Å, 90.00 90.00 120.00°
Closest atoms and distances in Å follow each position.
Space group R-3m (No. 166, hexagonal axes)
Asymmetric unit:
Al 0.0000 0.0000 0.2403 [6 per cell]  3 Pt 2.59
Cd 0.0000 0.0000 0.0000 [3 per cell]  6 Al 2.97, 6 Cd 3.11
Pt 0.0000 0.0000 0.5000 [3 per cell]  6 Al 2.59

Summary:
Total moment = 0.0 μB/f.u.
DFT formation energy = -0.33 eV/atom



The following is a GGA-PBE calculation of a relaxed structure of Al2CdPt, from Alexandria via LeMat-Bulk.

Cell: 3.1556 4.2157 5.4862 Å, 90.00 103.73 90.00°
Closest atoms and distances in Å follow each position.
Space group P2/m (No. 10)
Asymmetric unit:
Al 0.1429 0.0000 0.2702 [2 per cell]  2 Pt 2.57, 1 Al 2.87
Cd 0.5000 0.5000 0.0000 [1 per cell]  2 Pt 2.74, 8 Al 2.95-3.05
Pt 0.5000 0.5000 0.5000 [1 per cell]  4 Al 2.57, 2 Cd 2.74

Summary:
Total moment = 0.0 μB/f.u.
DFT formation energy = -0.26 eV/atom



The following is a GGA-PBE calculation of a relaxed structure of Al2CdPt, from Alexandria via LeMat-Bulk.

Cell: 7.8507 7.8507 5.3337 Å, 90.00 90.00 90.00°
Closest atoms and distances in Å follow each position.
Space group I-42d (No. 122)
Asymmetric unit:
Al 0.1758 0.7500 0.1250 [8 per cell]  2 Pt 2.49
Cd 0.0000 0.0000 0.5000 [4 per cell]  2 Pt 2.67
Pt 0.0000 0.0000 0.0000 [4 per cell]  4 Al 2.49, 2 Cd 2.67

Summary:
Total moment = 0.0 μB/f.u.
DFT formation energy = -0.20 eV/atom